{"formula": "K2Na2Mo3WO12", "functional": "PBE+U", "state": "relaxed", "lattice": [[-6.198, 5.074, -0.443], [-1.703, -1.406, 7.713], [4.734, 5.969, 2.134]], "species": ["O", "O", "O", "O", "O", "O", "O", "O", "O", "O", "O", "O", "O", "O", "O", "O", "O", "O", "O", "O", "O", "O", "O", "O", "Mo", "Mo", "Mo", "Mo", "Mo", "Mo", "K", "K", "K", "K", "W", "W", "Na", "Na", "Na", "Na"], "fractional_positions": [[0.000, 0.759, 0.745], [0.500, 0.256, 0.744], [0.256, 0.500, 0.256], [0.500, 0.000, 0.000], [0.500, 0.256, 0.256], [0.500, 0.744, 0.744], [0.000, 0.241, 0.255], [0.000, 0.500, 0.000], [0.000, 0.241, 0.745], [0.241, 0.000, 0.255], [0.744, 0.500, 0.256], [0.500, 0.000, 0.500], [0.256, 0.500, 0.744], [0.759, 0.000, 0.745], [0.500, 0.500, 0.000], [0.500, 0.500, 0.500], [0.759, 0.000, 0.255], [0.000, 0.759, 0.255], [0.500, 0.744, 0.256], [0.000, 0.500, 0.500], [0.000, 0.000, 0.500], [0.744, 0.500, 0.744], [0.241, 0.000, 0.745], [0.000, 0.000, 0.000], [0.500, 0.500, 0.253], [0.500, 0.000, 0.748], [0.000, 0.500, 0.748], [0.500, 0.000, 0.252], [0.000, 0.500, 0.252], [0.500, 0.500, 0.747], [0.748, 0.252, 0.000], [0.252, 0.748, 0.000], [0.252, 0.252, 0.000], [0.748, 0.748, 0.000], [0.000, 0.000, 0.747], [0.000, 0.000, 0.253], [0.745, 0.255, 0.500], [0.255, 0.745, 0.500], [0.255, 0.255, 0.500], [0.745, 0.745, 0.500]], "mass_density_g_cm3": 5.14, "volume_a3_per_atom": 12.7, "e_tot_ev_per_cell": -259.044}